Version a
## TcSb2Br (GGA-PBEsol)

Data for a relaxed structure of TcSb2Br.

Properties
mass density = 7.8 g/cm3
crystal system = tetragonal
total moment = 0.00 μB/cell
space group = P4mm (99)

POSCAR file:
```
TcSb2Br
1.0
3.4465 0.0000 0.0000
0.0000 3.4465 0.0000
0.0000 0.0000 7.5705
Tc Sb Br
1 2 1
Direct
0.0000 0.0000 0.0000
0.0000 0.0000 0.6066
0.5000 0.5000 0.8528
0.5000 0.5000 0.2542
```

Version b
## TcSb2Br (GGA-PBEsol)

Data for a relaxed structure of TcSb2Br.

Properties
mass density = 8.2 g/cm3
crystal system = tetragonal
total moment = 0.00 μB/cell
space group = P4/mmm (123)

POSCAR file:
```
TcSb2Br
1.0
3.2900 0.0000 0.0000
0.0000 3.2900 0.0000
0.0000 0.0000 7.8657
Tc Sb Br
1 2 1
Direct
0.0000 0.0000 0.0000
0.5000 0.5000 0.2011
0.5000 0.5000 0.7989
0.0000 0.0000 0.5000
```

Of the structures shown above, version a is the least stable.